No. 1
HfMn3Si: relaxed, PBE-GGA.

a = 4.260 Å, b = 4.260 Å, c = 4.260 Å
α = 90.00°, β = 90.00°, γ = 90.00°
Last column: magnetic moment on the atom in μB.
Fractional coordinates of all 5 atoms:
Si 0.000 0.000 0.000  -0.12
Mn 0.000 0.500 0.000  2.10
Mn 0.000 0.000 0.500  2.10
Mn 0.500 0.000 0.000  1.63
Hf 0.500 0.500 0.500  -0.49

space group: Pm-3m
formation energy (no corrections): 0.33 eV/atom
theoretical density: 8.0 g/cm3
DFT total energy: -41.25 eV/cell
energy above the most stable polymorph in this dataset: 0 meV per atom

No. 2
HfMn3Si: relaxed, PBE-GGA.

a = 4.726 Å, b = 4.726 Å, c = 4.726 Å
α = 90.00°, β = 90.00°, γ = 90.00°
Last column: magnetic moment on the atom in μB.
Fractional coordinates of all 5 atoms:
Si 0.500 0.500 0.500  -0.04
Mn 0.000 0.500 0.000  3.12
Mn 0.000 0.000 0.500  2.92
Mn 0.500 0.000 0.000  3.50
Hf 0.000 0.000 0.000  -0.65

space group: Pm-3m
formation energy (no corrections): 1.55 eV/atom
theoretical density: 5.8 g/cm3
DFT total energy: -35.12 eV/cell
energy above the most stable polymorph in this dataset: 1226 meV per atom

No. 3
Hf3MnSi: relaxed, PBE-GGA.

a = 4.713 Å, b = 4.713 Å, c = 4.713 Å
α = 90.00°, β = 90.00°, γ = 90.00°
Last column: magnetic moment on the atom in μB.
Fractional coordinates of all 5 atoms:
Si 0.500 0.500 0.500  0.00
Mn 0.000 0.000 0.000  0.15
Hf 0.000 0.500 0.000  0.01
Hf 0.000 0.000 0.500  0.00
Hf 0.500 0.000 0.000  0.04

space group: Pm-3m
formation energy (no corrections): 0.41 eV/atom
theoretical density: 9.8 g/cm3
DFT total energy: -42.41 eV/cell
energy above the most stable polymorph in this dataset: 0 meV per atom

No. 4
HfMnSi3: relaxed, PBE-GGA.

a = 4.964 Å, b = 4.964 Å, c = 4.964 Å
α = 90.00°, β = 90.00°, γ = 90.00°
Last column: magnetic moment on the atom in μB.
Fractional coordinates of all 5 atoms:
Si 0.000 0.500 0.000  0.02
Si 0.000 0.000 0.500  0.04
Si 0.500 0.000 0.000  0.00
Mn 0.500 0.500 0.500  -0.55
Hf 0.000 0.000 0.000  0.03

space group: Pm-3m
formation energy (no corrections): 1.58 eV/atom
theoretical density: 4.3 g/cm3
DFT total energy: -27.50 eV/cell
energy above the most stable polymorph in this dataset: 1203 meV per atom

No. 5
Hf2Mn3Si4: relaxed, PBE-GGA.

a = 6.449 Å, b = 6.387 Å, c = 6.390 Å
α = 90.00°, β = 90.00°, γ = 110.50°
Last column: magnetic moment on the atom in μB.
Fractional coordinates of all 18 atoms:
Hf 0.557 0.190 0.330  0.00
Hf 0.943 0.810 0.830  0.00
Hf 0.443 0.810 0.670  0.00
Hf 0.057 0.190 0.170  0.00
Mn 0.000 0.500 0.500  -0.14
Mn 0.500 0.500 0.000  -0.14
Mn 0.756 0.239 0.859  0.43
Mn 0.744 0.761 0.359  0.43
Mn 0.244 0.761 0.141  0.43
Mn 0.256 0.239 0.641  0.43
Si 0.871 0.102 0.557  -0.01
Si 0.629 0.898 0.057  -0.01
Si 0.129 0.898 0.443  -0.01
Si 0.371 0.102 0.943  -0.01
Si 0.869 0.517 0.143  0.00
Si 0.631 0.483 0.643  0.00
Si 0.131 0.483 0.857  0.00
Si 0.369 0.517 0.357  0.00

space group: P2_1/c
formation energy (no corrections): -0.59 eV/atom
theoretical density: 8.5 g/cm3
DFT total energy: -148.79 eV/cell

No. 6
HfMnSi3: relaxed, PBE-GGA.

a = 4.378 Å, b = 4.378 Å, c = 4.378 Å
α = 90.00°, β = 90.00°, γ = 90.00°
Fractional coordinates of all 5 atoms:
Si 0.000 0.500 0.000
Si 0.000 0.000 0.500
Si 0.500 0.000 0.000
Mn 0.000 0.000 0.000
Hf 0.500 0.500 0.500

space group: Pm-3m
formation energy (no corrections): 0.37 eV/atom
theoretical density: 6.3 g/cm3
DFT total energy: -33.52 eV/cell
energy above the most stable polymorph in this dataset: 0 meV per atom

No. 7
Hf2MnSi: relaxed, PBE-GGA.

a = 7.301 Å, b = 7.301 Å, c = 5.877 Å
α = 51.60°, β = 51.60°, γ = 90.00°
Last column: magnetic moment on the atom in μB.
Fractional coordinates of all 8 atoms:
Si 0.500 0.500 0.000  0.04
Si 0.250 0.750 0.500  0.04
Mn 0.000 0.000 0.000  3.00
Mn 0.750 0.250 0.500  3.00
Hf 0.623 0.125 0.250  -0.06
Hf 0.127 0.625 0.250  -0.07
Hf 0.375 0.377 0.750  -0.04
Hf 0.875 0.873 0.750  -0.06

space group: I-42d
formation energy (no corrections): 0.22 eV/atom
theoretical density: 9.8 g/cm3
DFT total energy: -67.28 eV/cell

No. 8
Hf2MnSi2: relaxed, PBE-GGA.

a = 6.330 Å, b = 6.330 Å, c = 3.998 Å
α = 90.00°, β = 90.00°, γ = 90.00°
Last column: magnetic moment on the atom in μB.
Fractional coordinates of all 10 atoms:
Si 0.365 0.865 0.000  -0.03
Si 0.865 0.635 0.000  -0.03
Si 0.635 0.135 0.000  -0.03
Si 0.135 0.365 0.000  -0.03
Mn 0.000 0.000 0.000  1.63
Mn 0.500 0.500 0.000  1.62
Hf 0.173 0.673 0.500  -0.10
Hf 0.673 0.827 0.500  -0.10
Hf 0.827 0.327 0.500  -0.10
Hf 0.327 0.173 0.500  -0.10

space group: P4/mbm
formation energy (no corrections): -0.70 eV/atom
theoretical density: 9.7 g/cm3
DFT total energy: -86.83 eV/cell